## RbAc2MoO8 (GGA+U)

Data for a relaxed RbAc2MoO8 crystal.

## Properties
As for the uncorrected energy: -6.72 eV/atom. Its magnetic moment is 1.03 Bohr magnetons per cell.

abc: 4.5178 5.2336 8.8607
angles: 89.99 90.00 101.34
Atoms (fractional coordinates):
O  0.9217  0.2245  0.8294
O  0.5802  0.3904  0.5000
O  0.9218  0.2244  0.1706
O  0.0783  0.7755  0.1706
O  0.3938  0.2153  0.0000
O  0.6062  0.7847  0.0000
O  0.0782  0.7756  0.8294
O  0.4198  0.6096  0.5000
Rb  0.0000  0.0000  0.5000
Ac  0.4999  0.5000  0.7864
Ac  0.5001  0.5000  0.2136
Mo  0.0000  0.0000  0.0000


## RbAcMo2O8 (GGA+U)

Data for a relaxed RbAcMo2O8 crystal.

## Properties
As for the uncorrected energy: -7.08 eV/atom. Its magnetic moment is 0.00 Bohr magnetons per cell.

abc: 6.2640 6.2640 8.2031
angles: 90.00 90.00 120.00
Atoms (fractional coordinates):
O  0.8263  0.1770  0.3049
O  0.1770  0.3507  0.6951
O  0.3333  0.6667  0.9811
O  0.6493  0.8263  0.6951
O  0.3507  0.1737  0.3049
O  0.1737  0.8230  0.6951
O  0.8230  0.6493  0.3049
O  0.6667  0.3333  0.0189
Mo  0.6667  0.3333  0.2324
Mo  0.3333  0.6667  0.7676
Rb  0.0000  0.0000  0.0000
Ac  0.0000  0.0000  0.5000


## Rb2Ac2MoO6 (GGA+U)

Data for a relaxed Rb2Ac2MoO6 crystal.

## Properties
As for the uncorrected energy: -6.57 eV/atom. Its magnetic moment is 2.00 Bohr magnetons per cell.

abc: 6.2822 6.2822 6.9449
angles: 97.44 97.44 118.96
Atoms (fractional coordinates):
O  0.9587  0.6688  0.3381
O  0.0413  0.3312  0.6619
O  0.3312  0.0413  0.6619
O  0.7574  0.7574  0.6748
O  0.6688  0.9587  0.3381
O  0.2426  0.2426  0.3252
Ac  0.6634  0.3366  0.5000
Ac  0.3366  0.6634  0.5000
Rb  0.8454  0.1546  0.0000
Rb  0.1546  0.8454  0.0000
Mo  0.0000  0.0000  0.5000


Which formula does entry 1 have? RbAc2MoO8


Number 3 is which compound? Rb2Ac2MoO6


Among the records above, which one has the lowest uncorrected energy? RbAcMo2O8


The lowest uncorrected energy belongs to which entry? RbAcMo2O8